# Al3PdRh

A crystal of Al3PdRh relaxed with PBEsol (meta-GGA SCAN, the Alexandria database).

Properties
total energy	-18.1473	eV/atom
total moment	0.000	μB per cell
ΔE_f	-0.93	eV per formula unit
excess energy over the best structure of this formula in the dataset	0	meV/atom
D(E_F)	1.61	states/eV/f.u.

a = 4.565 Å, b = 4.565 Å, c = 4.565 Å
α = 90.00°, β = 90.00°, γ = 90.00°
Fractional coordinates of all 5 atoms:
Al  0.000  0.000  0.500
Al  0.000  0.500  0.000
Al  0.500  0.000  0.000
Pd  0.500  0.500  0.500
Rh  0.000  0.000  0.000